# 1
Sr3Fe2O5 | GGA-PBEsol | optimized geometry

```
Sr3Fe2O5
1.0
-1.766 1.912 10.069
1.766 -1.912 10.069
1.766 1.912 -10.069
Sr Fe O
3 2 5
Cartesian
0.000 0.000 0.000
0.000 0.000 3.727
0.000 0.000 16.411
0.000 0.000 8.164
0.000 0.000 11.974
1.766 0.000 1.907
0.000 0.000 6.245
0.000 0.000 10.069
0.000 0.000 13.893
0.000 1.912 8.162
```

Results
* space group: Immm (71)
* calculated volume: 136.0 Å³ per cell
* energy relative to the lowest polymorph listed for this composition: 0.0 meV per atom
* theoretical density: 5.55 g/cm3

# 2
Sr3Fe2O7 | GGA-PBEsol | optimized geometry

```
Sr3Fe2O7
1.0
-1.896 1.896 9.904
1.896 -1.896 9.904
1.896 1.896 -9.904
Sr Fe O
3 2 7
Cartesian
0.000 0.000 0.000
0.000 0.000 3.620
0.000 0.000 16.188
0.000 0.000 8.006
0.000 0.000 11.801
1.896 0.000 1.886
0.000 0.000 6.104
1.896 0.000 8.018
0.000 0.000 9.904
0.000 1.896 1.886
0.000 0.000 13.703
0.000 1.896 8.018
```

Results
* DFT total energy: -86.63 eV/cell
* space group: I4/mmm (139)
* calculated volume: 142.4 Å³ per cell
* theoretical density: 5.67 g/cm3

# 3
Sr2TaFeO6 | GGA-PBEsol | optimized geometry

```
Sr2TaFeO6
1.0
0.000 3.873 3.873
3.873 0.000 3.873
3.873 3.873 0.000
Sr Ta Fe O
2 1 1 6
Cartesian
1.937 1.937 1.937
5.810 5.810 5.810
0.000 0.000 0.000
3.873 3.873 3.873
3.873 3.873 1.975
3.873 1.975 3.873
5.772 3.873 3.873
1.975 3.873 3.873
3.873 5.772 3.873
3.873 3.873 5.772
```

Results
* DFT total energy: -82.93 eV/cell
* space group: Fm-3m (225)
* calculated volume: 116.2 Å³ per cell
* theoretical density: 7.26 g/cm3

# 4
SrTb2Fe2O7 | GGA-PBEsol | optimized geometry

```
SrTb2Fe2O7
1.0
5.387 0.000 0.000
0.000 5.387 0.000
0.000 0.000 19.144
Sr Tb Fe O
4 8 8 28
Cartesian
1.319 1.319 0.000
1.375 4.012 9.572
4.012 1.375 9.572
4.068 4.068 0.000
1.231 1.231 3.465
1.231 1.231 15.680
1.463 3.924 6.107
1.463 3.924 13.037
3.924 1.463 6.107
3.924 1.463 13.037
4.156 4.156 3.465
4.156 4.156 15.680
1.324 1.324 7.677
1.324 1.324 11.468
1.369 4.018 1.896
1.369 4.018 17.249
4.018 1.369 1.896
4.018 1.369 17.249
4.063 4.063 7.677
4.063 4.063 11.468
0.000 0.000 1.769
0.000 0.000 7.250
0.000 0.000 11.895
0.000 0.000 17.375
0.000 2.694 2.044
0.000 2.694 7.528
0.000 2.694 11.616
0.000 2.694 17.101
1.068 4.319 3.984
1.068 4.319 15.161
1.193 1.193 9.572
1.501 3.886 0.000
1.625 1.625 5.588
1.625 1.625 13.556
2.694 0.000 2.044
2.694 0.000 7.528
2.694 0.000 11.616
2.694 0.000 17.101
2.694 2.694 2.322
2.694 2.694 7.803
2.694 2.694 11.341
2.694 2.694 16.822
3.762 3.762 5.588
3.762 3.762 13.556
3.886 1.501 0.000
4.194 4.194 9.572
4.319 1.068 3.984
4.319 1.068 15.161
```

Results
* DFT total energy: -388.52 eV/cell
* space group: P4_2/mnm (136)
* calculated volume: 555.6 Å³ per cell
* theoretical density: 7.52 g/cm3

# 5
Sr3Fe2TeO9 | GGA-PBEsol | optimized geometry

```
Sr3Fe2TeO9
1.0
5.514 0.000 0.000
-2.757 4.775 0.000
0.000 0.000 6.792
Sr Fe Te O
3 2 1 9
Cartesian
0.000 0.000 0.000
0.000 3.183 2.201
2.757 1.592 4.591
0.000 3.183 5.795
2.757 1.592 0.998
0.000 0.000 3.396
-1.378 2.388 0.000
0.000 1.577 4.514
-1.391 3.986 4.514
1.366 0.789 2.278
2.757 0.000 0.000
1.378 2.388 0.000
1.391 3.986 4.514
4.148 0.789 2.278
2.757 3.198 2.278
```

Results
* DFT total energy: -104.23 eV/cell
* space group: P-3m1 (164)
* calculated volume: 178.8 Å³ per cell
* theoretical density: 6.00 g/cm3

# 6
Sr6Ti3FeO14 | GGA-PBEsol | optimized geometry

```
Sr6Ti3FeO14
1.0
3.879 0.000 0.000
0.000 3.879 0.000
0.000 0.000 20.090
Sr Ti Fe O
6 3 1 14
Cartesian
0.000 0.000 0.000
0.000 0.000 3.506
0.000 0.000 16.337
1.939 1.939 6.181
1.939 1.939 9.929
1.939 1.939 13.672
0.000 0.000 7.943
0.000 0.000 11.913
1.939 1.939 18.087
1.939 1.939 1.856
0.000 0.000 5.992
0.000 0.000 9.931
0.000 0.000 13.872
0.000 1.939 1.825
0.000 1.939 7.976
0.000 1.939 11.884
0.000 1.939 18.115
1.939 0.000 1.825
1.939 0.000 7.976
1.939 0.000 11.884
1.939 0.000 18.115
1.939 1.939 3.721
1.939 1.939 16.140
1.939 1.939 20.075
```

Results
* DFT total energy: -188.32 eV/cell
* space group: P4mm (99)
* calculated volume: 302.2 Å³ per cell
* theoretical density: 5.22 g/cm3

# 7
Sr5Ti4FeO15 | GGA-PBEsol | optimized geometry

```
Sr5Ti4FeO15
1.0
8.198 -2.732 0.000
8.198 2.732 0.000
-1.821 0.000 6.443
Sr Ti Fe O
5 4 1 15
Cartesian
0.000 0.000 0.000
1.806 0.000 5.143
5.484 0.000 3.865
9.091 0.000 2.577
12.768 0.000 1.300
2.707 0.000 1.933
6.384 0.000 0.682
8.190 0.000 5.760
11.867 0.000 4.510
-0.911 0.000 3.221
3.188 1.366 3.221
0.856 0.000 2.590
4.111 1.362 5.819
6.843 1.398 1.976
7.732 1.398 4.466
4.540 0.000 1.302
10.463 1.362 0.624
3.188 -1.366 3.221
8.198 0.000 0.000
4.111 -1.362 5.819
10.034 0.000 5.141
6.843 -1.398 1.976
7.732 -1.398 4.466
10.463 -1.362 0.624
13.718 0.000 3.852
```

Results
* DFT total energy: -204.21 eV/cell
* space group: C2/m (12)
* calculated volume: 288.6 Å³ per cell
* theoretical density: 5.32 g/cm3

# 8
Sr3TlFe2O8 | GGA-PBEsol | optimized geometry

```
Sr3TlFe2O8
1.0
3.754 0.000 0.000
0.000 12.418 0.000
0.000 0.000 3.760
Sr Tl Fe O
3 1 2 8
Cartesian
0.000 0.000 0.000
0.000 3.713 0.009
0.000 8.705 0.009
1.877 6.209 2.078
1.877 1.901 1.881
1.877 10.517 1.881
0.000 1.935 1.885
0.000 6.209 3.509
0.000 10.483 1.885
1.877 0.000 1.880
1.877 1.936 0.000
1.877 3.984 1.857
1.877 8.434 1.857
1.877 10.482 0.000
```

Results
* DFT total energy: -95.50 eV/cell
* space group: Pmm2 (25)
* calculated volume: 175.3 Å³ per cell
* theoretical density: 6.70 g/cm3